Entry 1:
Here is ZrIn2Cl6 after structural relaxation from the Open Quantum Materials Database. Energies are from PBE-GGA.

Cell lengths 7.2055, 7.2055, 6.1291 Å; angles 90.69, 90.69, 60.12 degrees
Last column: nearest neighbours and their distance in Å.
Fractional coordinates of all 9 atoms:
Zr  0.0000  0.0000  0.0000  6 Cl 2.49
In  0.3308  0.3308  0.8502  3 Cl 3.13-3.14
In  0.6692  0.6692  0.1498  3 Cl 3.13-3.14
Cl  0.1644  0.6716  0.2276  1 Zr 2.49
Cl  0.1655  0.1655  0.2320  1 Zr 2.49
Cl  0.3284  0.8356  0.7724  1 Zr 2.49
Cl  0.6716  0.1644  0.2276  1 Zr 2.49
Cl  0.8345  0.8345  0.7680  1 Zr 2.49
Cl  0.8356  0.3284  0.7724  1 Zr 2.49

Results
Symmetry = C2/m
Size of the total moment = 0.000 μB per atom
Volume = 30.66 Å³/atom
Energy = -4.173 eV/atom



Entry 2:
Here is ZrIn2Cl6 after structural relaxation from the Open Quantum Materials Database. Energies are from PBE-GGA.

Cell lengths 7.1153, 7.1153, 7.1153 Å; angles 119.11, 119.11, 91.55 degrees
Last column: nearest neighbours and their distance in Å.
Fractional coordinates of all 9 atoms:
Zr  0.0000  0.0000  0.0000  6 Cl 2.47-2.48
In  0.2500  0.7500  0.5000  12 Cl 3.56-3.61
In  0.7500  0.2500  0.5000  12 Cl 3.56-3.61
Cl  0.2431  0.2431  0.4862  1 Zr 2.48
Cl  0.2431  0.7569  0.0000  1 Zr 2.48
Cl  0.2492  0.2492  0.0000  1 Zr 2.47
Cl  0.7508  0.7508  0.0000  1 Zr 2.47
Cl  0.7569  0.2431  0.0000  1 Zr 2.48
Cl  0.7569  0.7569  0.5138  1 Zr 2.48

Results
Symmetry = I4/mmm
Size of the total moment = 0.000 μB per atom
Volume = 28.67 Å³/atom
Energy = -4.168 eV/atom



Entry 3:
Here is IrCl2 after structural relaxation from the Open Quantum Materials Database. Energies are from PBE-GGA.

Cell lengths 7.4749, 7.4749, 7.4749 Å; angles 60.00, 60.00, 60.00 degrees
Last column: nearest neighbours and their distance in Å.
Fractional coordinates of all 6 atoms:
Ir  0.1250  0.1250  0.1250  4 Cl 2.29
Ir  0.8750  0.8750  0.8750  4 Cl 2.29
Cl  0.0000  0.0000  0.0000  2 Ir 2.29
Cl  0.0000  0.0000  0.5000  2 Ir 2.29
Cl  0.0000  0.5000  0.0000  2 Ir 2.29
Cl  0.5000  0.0000  0.0000  2 Ir 2.29

Results
Symmetry = Fd-3m
Size of the total moment = 0.039 μB per atom
Volume = 49.22 Å³/atom
Energy = -3.838 eV/atom



Entry 4:
Here is IrCl2 after structural relaxation from the Open Quantum Materials Database. Energies are from PBE-GGA.

Cell lengths 5.6407, 5.6407, 3.7527 Å; angles 90.00, 90.00, 90.00 degrees
Last column: nearest neighbours and their distance in Å.
Fractional coordinates of all 6 atoms:
Ir  0.0000  0.0000  0.0000  6 Cl 2.42-2.44
Ir  0.5000  0.5000  0.5000  6 Cl 2.42-2.44
Cl  0.1962  0.1962  0.5000  3 Ir 2.42-2.44
Cl  0.3038  0.6962  0.0000  3 Ir 2.42-2.44
Cl  0.6962  0.3038  0.0000  3 Ir 2.42-2.44
Cl  0.8038  0.8038  0.5000  3 Ir 2.42-2.44

Results
Symmetry = P4_2/mnm
Size of the total moment = 0.000 μB per atom
Volume = 19.90 Å³/atom
Energy = -4.138 eV/atom



Entry 5:
Here is IrCl5 after structural relaxation from the Open Quantum Materials Database. Energies are from PBE-GGA.

Cell lengths 6.1286, 6.6169, 8.9694 Å; angles 108.96, 90.37, 117.00 degrees
Last column: nearest neighbours and their distance in Å.
Fractional coordinates of all 12 atoms:
Ir  0.1002  0.2066  0.2087  6 Cl 2.27-2.43
Ir  0.8998  0.7934  0.7913  6 Cl 2.27-2.43
Cl  0.0629  0.8076  0.5663  1 Ir 2.27
Cl  0.1200  0.6204  0.8499  1 Ir 2.28
Cl  0.2437  0.1879  0.9555  2 Ir 2.43
Cl  0.3085  0.0109  0.2468  1 Ir 2.28
Cl  0.4366  0.5771  0.3398  1 Ir 2.27
Cl  0.5634  0.4229  0.6602  1 Ir 2.27
Cl  0.6915  0.9891  0.7532  1 Ir 2.28
Cl  0.7563  0.8121  0.0445  2 Ir 2.43
Cl  0.8800  0.3796  0.1501  1 Ir 2.28
Cl  0.9371  0.1924  0.4337  1 Ir 2.27

Results
Symmetry = P-1
Size of the total moment = 0.326 μB per atom
Volume = 25.11 Å³/atom
Energy = -3.313 eV/atom



Entry 6:
Here is Ir2Cl after structural relaxation from the Open Quantum Materials Database. Energies are from PBE-GGA.

Cell lengths 5.3377, 5.3377, 5.3377 Å; angles 60.00, 60.00, 60.00 degrees
Last column: nearest neighbours and their distance in Å.
Fractional coordinates of all 6 atoms:
Ir  0.0000  0.0000  0.0000  6 Ir 2.67
Ir  0.0000  0.0000  0.5000  6 Ir 2.67
Ir  0.0000  0.5000  0.0000  6 Ir 2.67
Ir  0.5000  0.0000  0.0000  6 Ir 2.67
Cl  0.3750  0.3750  0.3750  12 Ir 3.13, 4 Cl 3.27
Cl  0.6250  0.6250  0.6250  12 Ir 3.13, 4 Cl 3.27

Results
Symmetry = Fd-3m
Size of the total moment = 0.919 μB per atom
Volume = 17.92 Å³/atom
Energy = -5.170 eV/atom